1.
VASP calculation (PBE) on a relaxed Ac3B7Ru crystal.

abc: 8.6515 8.6515 10.4632
angles: 90.00 90.00 155.40
Element x y z (fractional)
Ac: 0.0970 0.9030 0.5543
Ac: 0.0970 0.9030 0.9457
Ac: 0.2589 0.7411 0.2500
Ac: 0.7411 0.2589 0.7500
Ac: 0.9030 0.0970 0.0543
Ac: 0.9030 0.0970 0.4457
B: 0.2722 0.7278 0.5329
B: 0.2722 0.7278 0.9671
B: 0.3564 0.6436 0.6569
B: 0.3564 0.6436 0.8431
B: 0.4586 0.5414 0.6318
B: 0.4586 0.5414 0.8682
B: 0.4744 0.5256 0.2500
B: 0.5256 0.4744 0.7500
B: 0.5414 0.4586 0.1318
B: 0.5414 0.4586 0.3682
B: 0.6436 0.3564 0.1569
B: 0.6436 0.3564 0.3431
B: 0.7278 0.2722 0.0329
B: 0.7278 0.2722 0.4671
Ru: 0.0706 0.9294 0.2500
Ru: 0.9294 0.0706 0.7500

As for the formation energy: -1.884 eV/f.u. As for the space group: Cmcm. The value obtained for the density of states at the Fermi level is 0.207 states/eV per atom.

=====

2.
VASP calculation (PBE) on a relaxed Ac2B10Ru crystal.

abc: 5.8798 11.7211 4.3077
angles: 90.00 90.00 90.00
Element x y z (fractional)
Ac: 0.2181 0.1321 0.0000
Ac: 0.2819 0.6321 0.0000
Ac: 0.7181 0.3679 0.0000
Ac: 0.7819 0.8679 0.0000
B: 0.0606 0.3080 0.5000
B: 0.1208 0.9565 0.5000
B: 0.1357 0.8035 0.5000
B: 0.2204 0.3825 0.2042
B: 0.2204 0.3825 0.7958
B: 0.2796 0.8825 0.2042
B: 0.2796 0.8825 0.7958
B: 0.3643 0.3035 0.5000
B: 0.3792 0.4565 0.5000
B: 0.4394 0.8080 0.5000
B: 0.5606 0.1920 0.5000
B: 0.6208 0.5435 0.5000
B: 0.6357 0.6965 0.5000
B: 0.7204 0.1175 0.2042
B: 0.7204 0.1175 0.7958
B: 0.7796 0.6175 0.2042
B: 0.7796 0.6175 0.7958
B: 0.8643 0.1965 0.5000
B: 0.8792 0.0435 0.5000
B: 0.9394 0.6920 0.5000
Ru: 0.0000 0.5000 0.5000
Ru: 0.5000 0.0000 0.5000

As for the formation energy: -6.504 eV/f.u. As for the space group: Pbam. The value obtained for the density of states at the Fermi level is 0.136 states/eV per atom.

=====

3.
VASP calculation (PBE) on a relaxed AcB3Ru2 crystal.

abc: 6.5177 6.5177 6.5177
angles: 132.85 78.30 121.52
Element x y z (fractional)
Ac: 0.3703 0.1203 0.2500
Ac: 0.6297 0.8797 0.7500
B: 0.0000 0.0000 0.5000
B: 0.0000 0.1733 0.1733
B: 0.0000 0.5000 0.0000
B: 0.0000 0.8267 0.8267
B: 0.5000 0.1733 0.6733
B: 0.5000 0.8267 0.3267
Ru: 0.0979 0.6833 0.4146
Ru: 0.2314 0.3167 0.9146
Ru: 0.7686 0.6833 0.0854
Ru: 0.9021 0.3167 0.5854

As for the formation energy: -0.030 eV/f.u. As for the space group: Imma. The value obtained for the density of states at the Fermi level is 0.311 states/eV per atom.

=====

4.
VASP calculation (PBE) on a relaxed Ac2B7Ru12 crystal.

abc: 9.2551 9.2551 3.7852
angles: 90.00 90.00 120.00
Element x y z (fractional)
Ac: 0.0000 0.0000 0.0000
Ac: 0.3333 0.6667 0.5000
B: 0.0678 0.6456 0.0000
B: 0.2923 0.0320 0.5000
B: 0.3544 0.4222 0.0000
B: 0.5778 0.9322 0.0000
B: 0.6667 0.3333 0.0000
B: 0.7397 0.7077 0.5000
B: 0.9680 0.2603 0.5000
Ru: 0.0591 0.7633 0.5000
Ru: 0.0904 0.4015 0.0000
Ru: 0.2367 0.2958 0.5000
Ru: 0.3110 0.9096 0.0000
Ru: 0.4049 0.2196 0.0000
Ru: 0.5535 0.1276 0.5000
Ru: 0.5741 0.4465 0.5000
Ru: 0.5985 0.6890 0.0000
Ru: 0.7042 0.9409 0.5000
Ru: 0.7804 0.1852 0.0000
Ru: 0.8148 0.5951 0.0000
Ru: 0.8724 0.4259 0.5000

As for the formation energy: -1.224 eV/f.u. As for the space group: P-6. The value obtained for the density of states at the Fermi level is 0.877 states/eV per atom.